[1]
# CuTcPt2 PBE optimized geometry
# E	-26.0	eV per formula unit
# formation energy from the elements	0.13	eV per atom
data_CuTcPt2
_cell_length_a 6.2223
_cell_length_b 6.2223
_cell_length_c 6.2223
_cell_angle_alpha 90.00
_cell_angle_beta 90.00
_cell_angle_gamma 90.00
_symmetry_space_group_name_H-M 'F m -3 m'
_symmetry_Int_Tables_number 225
_symmetry_space_group_name_Hall '-F 4 2 3'
loop_
_atom_site_label
_atom_site_fract_x
_atom_site_fract_y
_atom_site_fract_z
Cu1 0.0000 0.0000 0.0000
Tc1 0.0000 0.0000 0.5000
Pt1 0.2500 0.2500 0.2500


[2]
# Pm4ErTl3 PBE optimized geometry
# E	-32.6	eV per formula unit
# formation energy from the elements	-0.24	eV per atom
data_Pm4ErTl3
_cell_length_a 5.4837
_cell_length_b 5.4837
_cell_length_c 27.9389
_cell_angle_alpha 90.00
_cell_angle_beta 90.00
_cell_angle_gamma 120.00
_symmetry_space_group_name_H-M 'R -3 m'
_symmetry_Int_Tables_number 166
_symmetry_space_group_name_Hall '-R 3 2"'
loop_
_atom_site_label
_atom_site_fract_x
_atom_site_fract_y
_atom_site_fract_z
Pm1 0.0000 0.0000 0.1137
Pm2 0.0000 0.0000 0.3690
Er1 0.0000 0.0000 0.5000
Tl1 0.0000 0.0000 0.0000
Tl2 0.0000 0.0000 0.2350